# 1
## Lu2TlAu (GGA-PBE)

Data for a geometry-optimized Lu2TlAu structure.

a = 5.1247 Å, b = 5.1247 Å, c = 5.1247 Å
α = 60.00°, β = 60.00°, γ = 60.00°
Element x y z (fractional)
Au 0.2500 0.2500 0.2500
Lu 0.0000 0.0000 0.0000
Lu 0.7500 0.7500 0.7500
Tl 0.5000 0.5000 0.5000

Calculated values
The symmetry is F-43m (216). As for the magnetization: 0.0005 μB per atom. For the total DFT energy (no corrections), the calculation gives -15.12 eV/cell.

# 2
## TmLuAu (GGA-PBE)

Data for a geometry-optimized TmLuAu structure.

a = 4.8600 Å, b = 4.8600 Å, c = 4.8600 Å
α = 60.00°, β = 60.00°, γ = 60.00°
Element x y z (fractional)
Au 0.0000 0.0000 0.0000
Lu 0.2500 0.2500 0.2500
Tm 0.7500 0.7500 0.7500

Calculated values
The calculation puts the excess energy over the best structure of this formula in the dataset at 0 meV/atom. The symmetry is F-43m (216). As for the magnetization: 0.0167 μB per atom. For the total DFT energy (no corrections), the calculation gives -13.73 eV/cell. The energy of formation from the pure elements comes out at -489.0 meV/atom.

# 3
## TmLuAu4 (GGA-PBE)

Data for a geometry-optimized TmLuAu4 structure.

a = 3.6807 Å, b = 3.6807 Å, c = 8.9941 Å
α = 90.00°, β = 90.00°, γ = 90.00°
Element x y z (fractional)
Au 0.5000 0.5000 0.1635
Au 0.0000 0.0000 0.3350
Au 0.0000 0.0000 0.6650
Au 0.5000 0.5000 0.8365
Lu 0.0000 0.0000 0.0000
Tm 0.5000 0.5000 0.5000

Calculated values
The symmetry is P4/mmm (123). As for the magnetization: 0.0002 μB per atom. For the total DFT energy (no corrections), the calculation gives -27.42 eV/cell. The energy of formation from the pure elements comes out at -892.0 meV/atom.